(1)
VASP calculation (PBE) on an optimized crystal structure of Na2LiCuF6.

Output
* total moment: 4.00 μB/cell
* raw total energy: -4.2844 eV/atom
* formation energy without anion corrections: -2297 meV per atom
* V: 11.4 Å³ per atom
* ρ: 3.36 g cm⁻³
* space group: P2_1/c

Cell: 5.3733 5.5363 9.3477 Å, 90.00 124.93 90.00°
With the nearest neighbours (Å) after each atom.
Atoms (fractional coordinates):
1 Na 0.2355 0.0553 0.2491  6 F 2.31-2.56
2 Na 0.2355 0.4447 0.7491  6 F 2.31-2.56
3 Na 0.7645 0.5553 0.2509  6 F 2.31-2.56
4 Na 0.7645 0.9447 0.7509  6 F 2.31-2.56
5 Li 0.0000 0.0000 0.5000  6 F 2.05-2.07
6 Li 0.0000 0.5000 0.0000  6 F 2.05-2.07
7 Cu 0.5000 0.0000 0.0000  6 F 1.93
8 Cu 0.5000 0.5000 0.5000  6 F 1.93
9 F 0.1634 0.1958 0.9534  1 Cu 1.93, 1 Li 2.06
10 F 0.1634 0.3042 0.4534  1 Cu 1.93, 1 Li 2.06
11 F 0.2592 0.7127 0.9501  1 Cu 1.93, 1 Li 2.07
12 F 0.2592 0.7873 0.4501  1 Cu 1.93, 1 Li 2.07
13 F 0.3505 0.0292 0.7578  1 Cu 1.93, 1 Li 2.05
14 F 0.3505 0.4708 0.2578  1 Cu 1.93, 1 Li 2.05
15 F 0.6495 0.5292 0.7422  1 Cu 1.93, 1 Li 2.05
16 F 0.6495 0.9708 0.2422  1 Cu 1.93, 1 Li 2.05
17 F 0.7408 0.2127 0.5499  1 Cu 1.93, 1 Li 2.07
18 F 0.7408 0.2873 0.0499  1 Cu 1.93, 1 Li 2.07
19 F 0.8366 0.6958 0.5466  1 Cu 1.93, 1 Li 2.06
20 F 0.8366 0.8042 0.0466  1 Cu 1.93, 1 Li 2.06


(2)
VASP calculation (PBE) on an optimized crystal structure of TbPrCuIr.

Output
* total moment: 0.00 μB/cell
* DFT formation energy: -1.98 eV/f.u.
* raw total energy: -6.0862 eV/atom
* distance to the lowest polymorph of the same formula: 0.0000 eV per atom
* V: 23.0 Å³ per atom
* ρ: 10.05 g cm⁻³
* space group: Amm2

Cell: 4.3638 5.6985 5.6985 Å, 40.39 90.00 90.00°
With the nearest neighbours (Å) after each atom.
Atoms (fractional coordinates):
1 Tb 0.0000 0.0000 0.0000  3 Cu 2.95-3.15, 4 Ir 3.00
2 Pr 0.5000 0.7225 0.7225  3 Ir 2.99-3.07, 4 Cu 3.04
3 Cu 0.0000 0.2945 0.2945  2 Ir 2.70, 2 Tb 2.95
4 Ir 0.5000 0.4434 0.4434  2 Cu 2.70, 1 Pr 2.99, 4 Tb 3.00


(3)
VASP calculation (PBE) on an optimized crystal structure of AlCuRu2.

Output
* total moment: 0.00 μB/cell
* DFT formation energy: -0.27 eV/f.u.
* raw total energy: -6.6644 eV/atom
* V: 13.7 Å³ per atom
* ρ: 8.88 g cm⁻³
* space group: C2/m

Cell: 4.5379 4.5379 4.6867 Å, 101.88 101.88 35.52°
With the nearest neighbours (Å) after each atom.
Atoms (fractional coordinates):
1 Al 0.0000 0.0000 0.0000  6 Ru 2.58-2.71, 4 Cu 2.72, 2 Al 2.77
2 Cu 0.5000 0.5000 0.5000  6 Ru 2.63-2.66, 4 Al 2.72, 2 Cu 2.77
3 Ru 0.2558 0.2558 0.7514  3 Al 2.58-2.71, 3 Cu 2.63-2.66, 6 Ru 2.72-2.77
4 Ru 0.7442 0.7442 0.2486  3 Al 2.58-2.71, 3 Cu 2.63-2.66, 6 Ru 2.72-2.77


(4)
VASP calculation (PBE) on an optimized crystal structure of GaSnBi3.

Output
* total moment: 0.00 μB/cell
* DFT formation energy: 2.31 eV/f.u.
* raw total energy: -3.2716 eV/atom
* distance to the lowest polymorph of the same formula: 0.0000 eV per atom
* V: 33.4 Å³ per atom
* ρ: 8.11 g cm⁻³
* space group: Pm-3m

Cell: 5.5053 5.5053 5.5053 Å, 90.00 90.00 90.00°
With the nearest neighbours (Å) after each atom.
Atoms (fractional coordinates):
1 Ga 0.0000 0.0000 0.0000  6 Bi 2.75
2 Sn 0.5000 0.5000 0.5000  12 Bi 3.89
3 Bi 0.0000 0.0000 0.5000  2 Ga 2.75
4 Bi 0.0000 0.5000 0.0000  2 Ga 2.75
5 Bi 0.5000 0.0000 0.0000  2 Ga 2.75


(5)
VASP calculation (PBE) on an optimized crystal structure of Dy5Ag2Pb5.

Output
* total moment: 0.00 μB/cell
* DFT formation energy: -4.73 eV/f.u.
* raw total energy: -4.3320 eV/atom
* V: 26.9 Å³ per atom
* ρ: 10.60 g cm⁻³
* space group: C2/m

Cell: 8.6472 8.6472 10.5479 Å, 127.01 127.01 31.70°
With the nearest neighbours (Å) after each atom.
Atoms (fractional coordinates):
1 Dy 0.0000 0.0000 0.0000  4 Ag 3.26, 6 Pb 3.27-3.37, 2 Dy 3.59
2 Dy 0.1057 0.1057 0.4185  3 Ag 3.17-3.34, 7 Pb 3.29-3.51
3 Dy 0.1853 0.1853 0.8279  5 Pb 3.24-3.26, 1 Ag 3.51
4 Dy 0.8147 0.8147 0.1721  5 Pb 3.24-3.26, 1 Ag 3.51
5 Dy 0.8943 0.8943 0.5815  3 Ag 3.17-3.34, 7 Pb 3.29-3.51
6 Ag 0.3561 0.3561 0.7385  3 Pb 2.84-2.89, 2 Dy 3.17
7 Ag 0.6439 0.6439 0.2615  3 Pb 2.84-2.89, 2 Dy 3.17
8 Pb 0.2555 0.2555 0.3107  2 Ag 2.84
9 Pb 0.4303 0.4303 0.1277  1 Ag 2.89
10 Pb 0.5000 0.5000 0.5000  4 Pb 3.22-3.33, 4 Dy 3.36
11 Pb 0.5697 0.5697 0.8723  1 Ag 2.89
12 Pb 0.7445 0.7445 0.6893  2 Ag 2.84


(6)
VASP calculation (PBE) on an optimized crystal structure of NdTmHgBi.

Output
* total moment: 0.00 μB/cell
* DFT formation energy: -1.97 eV/f.u.
* raw total energy: -3.8489 eV/atom
* V: 28.2 Å³ per atom
* ρ: 10.62 g cm⁻³
* space group: F-43m

Cell: 5.4259 5.4259 5.4259 Å, 60.00 60.00 60.00°
With the nearest neighbours (Å) after each atom.
Atoms (fractional coordinates):
1 Nd 0.0000 0.0000 0.0000  4 Hg 3.32, 4 Bi 3.32
2 Tm 0.5000 0.5000 0.5000  4 Hg 3.32, 4 Bi 3.32
3 Hg 0.7500 0.7500 0.7500  4 Nd 3.32, 4 Tm 3.32
4 Bi 0.2500 0.2500 0.2500  4 Nd 3.32, 4 Tm 3.32


(7)
VASP calculation (PBE) on an optimized crystal structure of LiAc2GeO6.

Output
* total moment: 0.98 μB/cell
* raw total energy: -6.9221 eV/atom
* formation energy without anion corrections: -2472 meV per atom
* V: 12.4 Å³ per atom
* ρ: 8.46 g cm⁻³
* space group: P4/mmm

Cell: 5.5741 5.5741 3.9782 Å, 90.00 90.00 90.00°
With the nearest neighbours (Å) after each atom.
Atoms (fractional coordinates):
1 Li 0.0000 0.0000 0.0000  6 O 1.99-2.07
2 Ac 0.0000 0.5000 0.5000  12 O 2.79-2.80
3 Ac 0.5000 0.0000 0.5000  12 O 2.79-2.80
4 Ge 0.5000 0.5000 0.0000  6 O 1.87-1.99
5 O 0.0000 0.0000 0.5000  2 Li 1.99
6 O 0.2626 0.2626 0.0000  1 Ge 1.87, 1 Li 2.07
7 O 0.2626 0.7374 0.0000  1 Ge 1.87, 1 Li 2.07
8 O 0.5000 0.5000 0.5000  2 Ge 1.99
9 O 0.7374 0.2626 0.0000  1 Ge 1.87, 1 Li 2.07
10 O 0.7374 0.7374 0.0000  1 Ge 1.87, 1 Li 2.07


(8)
VASP calculation (PBE) on an optimized crystal structure of SnSbP.

Output
* total moment: 0.00 μB/cell
* raw total energy: -4.4440 eV/atom
* formation energy without anion corrections: 68 meV per atom
* distance to the lowest polymorph of the same formula: 0.0110 eV per atom
* V: 28.5 Å³ per atom
* ρ: 5.27 g cm⁻³
* space group: Cm

Cell: 7.7334 7.7334 5.5007 Å, 100.45 100.45 31.95°
With the nearest neighbours (Å) after each atom.
Atoms (fractional coordinates):
1 Sn 0.0000 0.0000 0.0000  1 P 2.58, 2 Sb 2.88
2 Sn 0.6878 0.6878 0.6251  2 P 2.77, 1 Sb 2.96
3 Sb 0.4899 0.4899 0.6440  3 Sn 2.88-2.96
4 Sb 0.8531 0.8531 0.2884  2 P 2.72, 1 Sn 2.93
5 P 0.1563 0.1563 0.2992  1 P 2.21
6 P 0.2597 0.2597 0.0582  1 P 2.21


(9)
VASP calculation (PBE) on an optimized crystal structure of CaDyHoTm.

Output
* total moment: 0.00 μB/cell
* DFT formation energy: 0.69 eV/f.u.
* raw total energy: -3.7408 eV/atom
* V: 32.8 Å³ per atom
* ρ: 6.78 g cm⁻³
* space group: F-43m

Cell: 5.7055 5.7055 5.7055 Å, 60.00 60.00 60.00°
With the nearest neighbours (Å) after each atom.
Atoms (fractional coordinates):
1 Ca 0.0000 0.0000 0.0000  4 Dy 3.49, 4 Ho 3.49
2 Dy 0.7500 0.7500 0.7500  4 Tm 3.49, 4 Ca 3.49
3 Ho 0.2500 0.2500 0.2500  4 Ca 3.49, 4 Tm 3.49
4 Tm 0.5000 0.5000 0.5000  4 Dy 3.49, 4 Ho 3.49


(10)
VASP calculation (PBE) on an optimized crystal structure of KNaO3.

Output
* total moment: 4.00 μB/cell
* raw total energy: -3.1062 eV/atom
* formation energy without anion corrections: 352 meV per atom
* V: 19.4 Å³ per atom
* ρ: 1.88 g cm⁻³
* space group: Pm-3m

Cell: 4.5966 4.5966 4.5966 Å, 90.00 90.00 90.00°
With the nearest neighbours (Å) after each atom.
Atoms (fractional coordinates):
1 K 0.0000 0.0000 0.0000  6 O 2.30
2 Na 0.5000 0.5000 0.5000  12 O 3.25
3 O 0.0000 0.0000 0.5000  2 K 2.30
4 O 0.0000 0.5000 0.0000  2 K 2.30
5 O 0.5000 0.0000 0.0000  2 K 2.30


(11)
VASP calculation (PBE) on an optimized crystal structure of Nd6IrRh2Br3.

Output
* total moment: 0.00 μB/cell
* raw total energy: -5.8497 eV/atom
* formation energy without anion corrections: -1084 meV per atom
* V: 29.0 Å³ per atom
* ρ: 7.17 g cm⁻³
* space group: C2/m

Cell: 7.1648 7.1648 8.1880 Å, 98.37 98.37 120.02°
With the nearest neighbours (Å) after each atom.
Atoms (fractional coordinates):
1 Nd 0.0652 0.3978 0.1956  1 Ir 2.83, 2 Rh 2.84
2 Nd 0.2674 0.2674 0.8043  1 Ir 2.83, 2 Rh 2.84
3 Nd 0.3978 0.0652 0.1956  1 Ir 2.83, 2 Rh 2.84
4 Nd 0.6022 0.9348 0.8044  1 Ir 2.83, 2 Rh 2.84
5 Nd 0.7326 0.7326 0.1957  1 Ir 2.83, 2 Rh 2.84
6 Nd 0.9348 0.6022 0.8044  1 Ir 2.83, 2 Rh 2.84
7 Ir 0.0000 0.0000 0.0000  6 Nd 2.83
8 Rh 0.3333 0.6667 0.0000  6 Nd 2.84
9 Rh 0.6667 0.3333 0.0000  6 Nd 2.84
10 Br 0.1667 0.8333 0.5000  6 Nd 3.37-3.38
11 Br 0.5000 0.5000 0.5000  6 Nd 3.37-3.38
12 Br 0.8333 0.1667 0.5000  6 Nd 3.37-3.38


(12)
VASP calculation (PBE) on an optimized crystal structure of Al2ReSb.

Output
* total moment: 0.00 μB/cell
* raw total energy: -5.6047 eV/atom
* formation energy without anion corrections: 409 meV per atom
* V: 17.1 Å³ per atom
* ρ: 8.79 g cm⁻³
* space group: Pmmm

Cell: 3.3867 4.4665 4.5219 Å, 90.00 90.00 90.00°
With the nearest neighbours (Å) after each atom.
Atoms (fractional coordinates):
1 Al 0.0000 0.0000 0.0000  4 Sb 2.80, 4 Al 2.82
2 Al 0.5000 0.0000 0.5000  4 Re 2.80, 4 Al 2.82
3 Re 0.0000 0.5000 0.5000  4 Al 2.80, 4 Sb 2.82
4 Sb 0.5000 0.5000 0.0000  4 Al 2.80, 4 Re 2.82


- What is the ρ in the ninth record?
  6.78 g cm⁻³


- Which formula does entry 3 have?
  AlCuRu2


- ρ of number 6 (NdTmHgBi)?
  10.62 g cm⁻³